# 1
A plane-wave DFT calculation with PBE was carried out for an optimized crystal structure of BaTe3Pd2.

## Properties
- Density: 6.6 g/cm3
- Formation energy (no corrections): -0.72 eV per atom
- Raw total energy: -52.09 eV/cell
- Space-group type: P-3m1

Cell lengths 8.2571, 8.2571, 6.2455 Å; angles 90.00, 90.00, 120.00 degrees
Sites, in units of the cell vectors:
Ba1 0.3333 0.6667 0.3502
Ba2 0.6667 0.3333 0.6498
Te1 0.1717 0.3434 0.7904
Te2 0.1717 0.8283 0.7904
Te3 0.3434 0.1717 0.2096
Te4 0.6566 0.8283 0.7904
Te5 0.8283 0.1717 0.2096
Te6 0.8283 0.6566 0.2096
Pd1 0.0000 0.0000 0.0000
Pd2 0.0000 0.5000 0.0000
Pd3 0.5000 0.0000 0.0000
Pd4 0.5000 0.5000 0.0000


# 2
A plane-wave DFT calculation with PBE was carried out for an optimized crystal structure of Pm3Ho3PuS8.

## Properties
- Density: 6.8 g/cm3
- Formation energy (no corrections): -2.00 eV per atom
- Raw total energy: -105.34 eV/cell
- Space-group type: R-3m

Cell lengths 7.9354, 7.9354, 7.9354 Å; angles 59.59, 59.59, 59.59 degrees
Sites, in units of the cell vectors:
Pm1 0.0000 0.5000 0.5000
Pm2 0.5000 0.0000 0.5000
Pm3 0.5000 0.5000 0.0000
Ho1 0.0000 0.0000 0.5000
Ho2 0.0000 0.5000 0.0000
Ho3 0.5000 0.0000 0.0000
Pu1 0.5000 0.5000 0.5000
S1 0.2403 0.7508 0.7508
S2 0.2457 0.2457 0.2457
S3 0.2492 0.2492 0.7597
S4 0.2492 0.7597 0.2492
S5 0.7508 0.2403 0.7508
S6 0.7508 0.7508 0.2403
S7 0.7543 0.7543 0.7543
S8 0.7597 0.2492 0.2492


# 3
A plane-wave DFT calculation with PBE was carried out for an optimized crystal structure of TlSnPb2.

## Properties
- Density: 10.1 g/cm3
- Raw total energy: -13.58 eV/cell
- Space-group type: Fm-3m
- Formation energy from the elements: 0.05 eV per atom

Cell lengths 5.5592, 5.5592, 5.5592 Å; angles 60.00, 60.00, 60.00 degrees
Sites, in units of the cell vectors:
Tl1 0.0000 0.0000 0.0000
Sn1 0.5000 0.5000 0.5000
Pb1 0.2500 0.2500 0.2500
Pb2 0.7500 0.7500 0.7500


# 4
A plane-wave DFT calculation with PBE was carried out for an optimized crystal structure of Cd3Hg3Br.

## Properties
- Density: 6.2 g/cm3
- Formation energy (no corrections): 0.09 eV per atom
- Raw total energy: -9.37 eV/cell
- Space-group type: Pm-3n

Cell lengths 8.1677, 8.1677, 8.1677 Å; angles 90.00, 90.00, 90.00 degrees
Sites, in units of the cell vectors:
Cd1 0.0000 0.2500 0.5000
Cd2 0.0000 0.7500 0.5000
Cd3 0.2500 0.5000 0.0000
Cd4 0.5000 0.0000 0.2500
Cd5 0.5000 0.0000 0.7500
Cd6 0.7500 0.5000 0.0000
Hg1 0.0000 0.5000 0.2500
Hg2 0.0000 0.5000 0.7500
Hg3 0.2500 0.0000 0.5000
Hg4 0.5000 0.2500 0.0000
Hg5 0.5000 0.7500 0.0000
Hg6 0.7500 0.0000 0.5000
Br1 0.0000 0.0000 0.0000
Br2 0.5000 0.5000 0.5000